A plane-wave DFT calculation with GGA+U was carried out for NpMn2AgO6 after structural relaxation.

The crystal system is monoclinic. Its total energy is -157.20 eV for the cell shown.

The space group is P2_1/c (No. 14) and the conventional cell measures 5.9293, 5.4462 and 10.3254 Å, with angles of 90.00, 122.64 and 90.00 degrees. The inequivalent atoms are Np at (0.0000, 0.0000, 0.0000), Mn at (0.3423, 0.0074, 0.8011), Ag at (0.5000, 0.0000, 0.5000), O at (0.0385, 0.2403, 0.6407), O at (0.3080, 0.1568, 0.9793) and O at (0.3186, 0.6925, 0.6829).